(1)
The following is a PBE calculation of HIrPd2Pt after structural relaxation, from the Alexandria database.

abc: 3.983 3.983 4.001
angles: 90.00 90.00 90.00
Positions (direct):
H1 0.000 0.000 0.000
Ir1 0.500 0.500 0.500
Pd1 0.000 0.500 0.000
Pd2 0.500 0.000 0.000
Pt1 0.000 0.000 0.500

Summary:
The energy above the lowest structure with this stoichiometry is 0.193 eV per formula unit. Its space-group type is P4/mmm (123). The density of states at the Fermi level comes out at 5.34 states/eV/f.u.

---

(2)
The following is a PBE calculation of Cs2NaI3 after structural relaxation, from the Alexandria database.

abc: 10.969 5.378 21.125
angles: 90.00 90.00 90.00
Positions (direct):
Cs1 0.078 0.250 0.215
Cs2 0.237 0.250 0.957
Cs3 0.263 0.750 0.457
Cs4 0.422 0.750 0.715
Cs5 0.578 0.250 0.285
Cs6 0.737 0.250 0.543
Cs7 0.763 0.750 0.043
Cs8 0.922 0.750 0.785
Na1 0.120 0.250 0.629
Na2 0.380 0.750 0.129
Na3 0.620 0.250 0.871
Na4 0.880 0.750 0.371
I1 0.009 0.250 0.404
I2 0.121 0.750 0.075
I3 0.183 0.250 0.771
I4 0.317 0.750 0.271
I5 0.379 0.250 0.575
I6 0.491 0.750 0.904
I7 0.509 0.250 0.096
I8 0.621 0.750 0.425
I9 0.683 0.250 0.729
I10 0.817 0.750 0.229
I11 0.879 0.250 0.925
I12 0.991 0.750 0.596

Summary:
The energy above the lowest structure with this stoichiometry is 0.000 eV per formula unit. Its space-group type is Pnma (62). Its uncorrected formation energy is -1440 meV/atom. The density of states at the Fermi level comes out at 0.00 states/eV/f.u.

---

(3)
The following is a PBE calculation of ZrTi2Au after structural relaxation, from the Alexandria database.

abc: 4.177 4.191 9.081
angles: 90.00 103.24 90.00
Positions (direct):
Zr1 0.196 0.250 0.392
Zr2 0.804 0.750 0.608
Ti1 0.053 0.750 0.105
Ti2 0.449 0.750 0.896
Ti3 0.551 0.250 0.104
Ti4 0.947 0.250 0.895
Au1 0.348 0.250 0.697
Au2 0.652 0.750 0.303

Summary:
Its space-group type is P2_1/m (11). The formation energy is -254 meV per atom. The density of states at the Fermi level comes out at 3.33 states/eV/f.u.

---

(4)
The following is a PBE calculation of BaLa3 after structural relaxation, from the Alexandria database.

abc: 3.816 3.816 11.261
angles: 90.00 90.00 90.00
Positions (direct):
Ba1 0.000 0.000 0.000
La1 0.000 0.000 0.500
La2 0.500 0.500 0.282
La3 0.500 0.500 0.718

Summary:
The energy above the lowest structure with this stoichiometry is 0.000 eV per formula unit. Its space-group type is P4/mmm (123). The formation energy is 84 meV per atom. The density of states at the Fermi level comes out at 6.95 states/eV/f.u.

---

(5)
The following is a PBE calculation of Ca2Pr2Mg3 after structural relaxation, from the Alexandria database.

abc: 15.478 15.478 3.788
angles: 90.00 90.00 165.38
Positions (direct):
Ca1 0.197 0.803 0.000
Ca2 0.803 0.197 0.000
Pr1 0.064 0.936 0.000
Pr2 0.936 0.064 0.000
Mg1 0.370 0.630 0.500
Mg2 0.500 0.500 0.500
Mg3 0.630 0.370 0.500

Summary:
Its space-group type is Cmmm (65). The formation energy is -46 meV per atom. The density of states at the Fermi level comes out at 7.32 states/eV/f.u.

---

(6)
The following is a PBE calculation of BeAg2Ir after structural relaxation, from the Alexandria database.

abc: 2.813 4.245 5.144
angles: 90.00 105.72 90.00
Positions (direct):
Be1 0.000 0.000 0.000
Ag1 0.378 0.500 0.234
Ag2 0.622 0.500 0.766
Ir1 0.000 0.000 0.500

Summary:
Its space-group type is P2/m (10). The formation energy is 351 meV per atom. The density of states at the Fermi level comes out at 3.17 states/eV/f.u.

---

Repeat the first record exactly.
The following is a PBE calculation of HIrPd2Pt after structural relaxation, from the Alexandria database.

abc: 3.983 3.983 4.001
angles: 90.00 90.00 90.00
Positions (direct):
H1 0.000 0.000 0.000
Ir1 0.500 0.500 0.500
Pd1 0.000 0.500 0.000
Pd2 0.500 0.000 0.000
Pt1 0.000 0.000 0.500

Summary:
The energy above the lowest structure with this stoichiometry is 0.193 eV per formula unit. Its space-group type is P4/mmm (123). The density of states at the Fermi level comes out at 5.34 states/eV/f.u.